Density functional theory data (GGA+U) for V2NiNO after structural relaxation.

Computed properties:
polymorph energy (0 for the lowest one): 0 meV per atom
D(E_F): 1.30 states/eV/f.u.
space group: P4/mmm, No. 123

Cell: 4.7208 3.3079 4.7208 Å, 90.00 90.00 90.00°
Last column: nearest neighbours and their distance in Å.
Positions (direct):
1 Ni 0.0000 0.0000 0.0000  2 N 1.65
2 N 0.0000 0.5000 0.0000  2 Ni 1.65
3 O 0.5000 0.5000 0.5000  8 V 2.88
4 V 0.0000 0.0000 0.5000  2 Ni 2.36
5 V 0.5000 0.0000 0.0000  2 Ni 2.36